# YFe2Tc, optimized geometry, DFT PBE
data_YFe2Tc
_chemical_formula_sum 'Y2 Fe4 Tc2'
_symmetry_space_group_name_H-M 'C 1 m 1'
_symmetry_Int_Tables_number 8
_symmetry_space_group_name_Hall 'C -2y'
_cell_length_a 8.785
_cell_length_b 3.160
_cell_length_c 5.084
_cell_angle_alpha 90.00
_cell_angle_beta 107.14
_cell_angle_gamma 90.00
loop_
_atom_site_label
_atom_site_type_symbol
_atom_site_fract_x
_atom_site_fract_y
_atom_site_fract_z
Y1 Y 0.000 0.000 0.000
Fe1 Fe 0.276 0.500 0.321
Fe2 Fe 0.494 0.000 0.495
Tc1 Tc 0.223 0.000 0.647
# * mass density: 7.4 Mg/m³
# * energy relative to the elements: 0.30 eV per atom
# * relative energy among the computed polymorphs: 180 meV per atom
# * crystal system: monoclinic